This record from Alexandria describes a geometry-optimized Nd3Y3ErTe8 structure. The functional is PBE. Values from VASP.

```
&SYSTEM
  ibrav = 0, nat = 15, ntyp = 4
/
ATOMIC_SPECIES
Nd 144.24 Nd.upf
Y 88.91 Y.upf
Er 167.26 Er.upf
Te 127.60 Te.upf
CELL_PARAMETERS angstrom
4.4001 2.5404 7.2436
-4.4001 2.5404 7.2436
0.0000 -5.0808 7.2436
ATOMIC_POSITIONS angstrom
Nd -2.2001 -1.2702 7.2436
Nd -2.2001 1.2702 14.4872
Nd 0.0000 2.5404 7.2436
Y -4.4001 0.0000 10.8654
Y -2.2001 1.2702 3.6218
Y 2.2001 1.2702 3.6218
Er 0.0000 0.0000 10.8654
Te -2.2359 -1.2909 12.6294
Te 0.0000 0.0000 5.3562
Te 0.0000 -2.5818 9.1014
Te -2.2359 1.2909 9.1014
Te 2.2359 -1.2909 12.6294
Te 0.0000 2.5818 12.6294
Te 0.0000 0.0000 16.3746
Te 2.2359 1.2909 9.1014
```

Values from the calculation:
Magnetization in μB per formula unit: 0.000
ΔE_f (raw) in eV/atom: -1.41
Volume in Å³ per cell: 486


This record from Alexandria describes a geometry-optimized Nd2YErTe6 structure. The functional is PBE. Values from VASP.

```
&SYSTEM
  ibrav = 0, nat = 10, ntyp = 4
/
ATOMIC_SPECIES
Nd 144.24 Nd.upf
Y 88.91 Y.upf
Er 167.26 Er.upf
Te 127.60 Te.upf
CELL_PARAMETERS angstrom
3.9149 2.2602 7.0653
-3.9149 2.2602 7.0653
0.0000 -4.5205 7.0653
ATOMIC_POSITIONS angstrom
Nd 0.0000 0.0000 0.0000
Nd 0.0000 0.0000 10.5880
Y 0.0000 0.0000 4.0243
Er 0.0000 0.0000 14.6121
Te -1.3343 -2.4810 9.1583
Te -2.4147 0.1197 12.7015
Te -1.4815 2.3960 9.1583
Te 1.1037 -2.1510 12.7015
Te 2.8158 0.0850 9.1583
Te 1.3110 2.0313 12.7015
```

Values from the calculation:
Magnetization in μB per formula unit: 0.000
ΔE_f (raw) in eV/atom: -1.37
Volume in Å³ per cell: 375


This record from Alexandria describes a geometry-optimized NdY2Er3Te6 structure. The functional is PBE. Values from VASP.

```
&SYSTEM
  ibrav = 0, nat = 12, ntyp = 4
/
ATOMIC_SPECIES
Nd 144.24 Nd.upf
Y 88.91 Y.upf
Er 167.26 Er.upf
Te 127.60 Te.upf
CELL_PARAMETERS angstrom
9.5463 -2.1678 0.0000
9.5463 2.1678 0.0000
-2.1264 0.0000 8.5326
ATOMIC_POSITIONS angstrom
Nd 0.0000 0.0000 0.0000
Y 4.9918 0.0000 5.7414
Y 11.9744 0.0000 2.7912
Er -1.0632 0.0000 4.2663
Er 6.0890 0.0000 1.4348
Er 10.8772 0.0000 7.0978
Te 1.9484 0.0000 4.9882
Te 3.1142 0.0000 0.6969
Te 8.9887 0.0000 2.2223
Te 7.9775 0.0000 6.3104
Te 13.8520 0.0000 7.8358
Te 15.0178 0.0000 3.5444
```

Values from the calculation:
Magnetization in μB per formula unit: 0.000
ΔE_f (raw) in eV/atom: -1.28
Volume in Å³ per cell: 353


This record from Alexandria describes a geometry-optimized Nd3Er12Th structure. The functional is PBE. Values from VASP.

```
&SYSTEM
  ibrav = 0, nat = 16, ntyp = 3
/
ATOMIC_SPECIES
Nd 144.24 Nd.upf
Er 167.26 Er.upf
Th 232.04 Th.upf
CELL_PARAMETERS angstrom
5.0112 0.0000 0.0000
0.0000 5.0112 0.0000
0.0000 0.0000 20.0585
ATOMIC_POSITIONS angstrom
Nd 0.0000 0.0000 0.0000
Nd 0.0000 0.0000 5.0404
Nd 0.0000 0.0000 15.0181
Er 0.0000 2.5056 2.5213
Er 0.0000 2.5056 7.5761
Er 0.0000 2.5056 12.4824
Er 0.0000 2.5056 17.5372
Er 2.5056 0.0000 2.5213
Er 2.5056 0.0000 7.5761
Er 2.5056 0.0000 12.4824
Er 2.5056 0.0000 17.5372
Er 2.5056 2.5056 0.0000
Er 2.5056 2.5056 5.0248
Er 2.5056 2.5056 10.0292
Er 2.5056 2.5056 15.0337
Th 0.0000 0.0000 10.0292
```

Values from the calculation:
Formation energy in eV/atom: 0.03
Magnetization in μB per formula unit: 0.000
Volume in Å³ per cell: 504


This record from Alexandria describes a geometry-optimized Nd2ErTh4 structure. The functional is PBE. Values from VASP.

```
&SYSTEM
  ibrav = 0, nat = 7, ntyp = 3
/
ATOMIC_SPECIES
Nd 144.24 Nd.upf
Er 167.26 Er.upf
Th 232.04 Th.upf
CELL_PARAMETERS angstrom
1.7901 -18.1946 0.0000
1.7901 18.1946 0.0000
0.0000 0.0000 3.5849
ATOMIC_POSITIONS angstrom
Nd 1.7901 10.7140 0.0000
Nd 1.7901 -10.7140 0.0000
Er 1.7901 0.0000 1.7924
Th 1.7901 15.6632 0.0000
Th 1.7901 4.9677 1.7924
Th 1.7901 -4.9677 1.7924
Th 1.7901 -15.6632 0.0000
```

Values from the calculation:
Formation energy in eV/atom: 0.07
Magnetization in μB per formula unit: 0.000
Volume in Å³ per cell: 234


This record from Alexandria describes a geometry-optimized Nd7Er4Th structure. The functional is PBE. Values from VASP.

```
&SYSTEM
  ibrav = 0, nat = 12, ntyp = 3
/
ATOMIC_SPECIES
Nd 144.24 Nd.upf
Er 167.26 Er.upf
Th 232.04 Th.upf
CELL_PARAMETERS angstrom
6.3170 0.0000 0.0000
-0.0021 7.2852 0.0000
-2.1295 -0.0217 8.7288
ATOMIC_POSITIONS angstrom
Nd 0.0000 0.0000 0.0000
Nd -0.0397 3.6274 5.8493
Nd 1.0456 1.8197 2.9045
Nd 1.0296 1.8120 8.7081
Nd 3.1558 5.4515 0.0207
Nd 3.1398 5.4438 5.8243
Nd 4.2251 3.6360 2.8795
Er -0.0282 -0.0127 5.7800
Er 1.0271 5.4722 2.8872
Er 3.1583 1.7913 5.8416
Er 4.2136 7.2762 2.9488
Th -0.0010 3.6426 0.0000
```

Values from the calculation:
Energy above the lowest structure with this stoichiometry in eV per atom: 0.000
Formation energy in eV/atom: 0.02
Magnetization in μB per formula unit: 0.000
Volume in Å³ per cell: 402


This record from Alexandria describes a geometry-optimized NdErTh14 structure. The functional is PBE. Values from VASP.

```
&SYSTEM
  ibrav = 0, nat = 16, ntyp = 3
/
ATOMIC_SPECIES
Nd 144.24 Nd.upf
Er 167.26 Er.upf
Th 232.04 Th.upf
CELL_PARAMETERS angstrom
11.6031 0.0000 0.0000
0.0000 3.5877 6.2225
0.0000 -3.5877 6.2225
ATOMIC_POSITIONS angstrom
Nd 0.0000 0.0000 0.0000
Er 0.0000 0.0000 6.2118
Th 0.0000 -1.8031 9.2893
Th 0.0000 1.8031 9.2893
Th 2.9016 0.0000 8.2739
Th 2.9113 -1.7877 5.1624
Th 2.9113 1.7877 5.1624
Th 2.9249 0.0000 2.0596
Th 5.8015 0.0000 4.1305
Th 5.8015 -1.7902 7.2384
Th 5.8015 1.7902 7.2384
Th 5.8015 0.0000 10.3514
Th 8.6782 0.0000 2.0596
Th 8.6918 -1.7877 5.1624
Th 8.6918 1.7877 5.1624
Th 8.7014 0.0000 8.2739
```

Values from the calculation:
Formation energy in eV/atom: 0.04
Magnetization in μB per formula unit: 0.000
Volume in Å³ per cell: 518


This record from Alexandria describes a geometry-optimized Nd3Er8Th2 structure. The functional is PBE. Values from VASP.

```
&SYSTEM
  ibrav = 0, nat = 26, ntyp = 3
/
ATOMIC_SPECIES
Nd 144.24 Nd.upf
Er 167.26 Er.upf
Th 232.04 Th.upf
CELL_PARAMETERS angstrom
6.9661 0.0000 0.0000
1.8777 8.2261 0.0000
1.9792 -0.2169 15.1063
ATOMIC_POSITIONS angstrom
Nd 0.0000 0.0000 0.0000
Nd 1.9284 4.0046 7.5531
Nd 2.6687 0.3668 2.9444
Nd 4.4816 3.6211 4.4906
Nd 6.3415 4.3880 10.6157
Nd 8.1544 7.6424 12.1619
Er 2.7938 4.5571 10.8233
Er 2.6933 5.6262 2.1468
Er 4.6385 7.4121 11.7045
Er 2.7663 1.0052 6.4080
Er 4.5281 6.5135 8.4148
Er 4.5048 2.3246 13.0674
Er 4.4434 1.5238 9.6007
Er 6.3415 5.3030 14.1396
Er 4.4815 2.7061 0.9666
Er 6.3796 6.4853 5.5056
Er 6.3182 5.6845 2.0389
Er 6.2949 1.4956 6.6915
Er 8.0567 7.0039 8.6983
Er 6.1845 0.5971 3.4018
Er 8.1298 2.3829 12.9594
Er 8.0293 3.4520 4.2830
Th 0.8933 2.8703 1.0551
Th 2.7729 6.6193 5.4415
Th 8.0501 1.3898 9.6647
Th 9.9298 5.1388 14.0512
```

Values from the calculation:
Formation energy in eV/atom: 0.14
Magnetization in μB per formula unit: 0.000
Volume in Å³ per cell: 866


This record from Alexandria describes a geometry-optimized NdEr6Th2 structure. The functional is PBE. Values from VASP.

```
&SYSTEM
  ibrav = 0, nat = 9, ntyp = 3
/
ATOMIC_SPECIES
Nd 144.24 Nd.upf
Er 167.26 Er.upf
Th 232.04 Th.upf
CELL_PARAMETERS angstrom
3.5554 0.0000 0.0000
-1.7777 3.0791 0.0000
0.0000 0.0000 26.2491
ATOMIC_POSITIONS angstrom
Nd 0.0000 0.0000 0.0000
Er 0.0000 0.0000 5.7270
Er 0.0000 0.0000 11.4761
Er 0.0000 0.0000 14.7731
Er 0.0000 0.0000 20.5221
Er 0.0000 2.0527 2.9481
Er 0.0000 2.0527 23.3010
Th 0.0000 2.0527 8.6677
Th 0.0000 2.0527 17.5815
```

Values from the calculation:
Energy above the lowest structure with this stoichiometry in eV per atom: 0.000
Formation energy in eV/atom: 0.08
Magnetization in μB per formula unit: 0.001
Volume in Å³ per cell: 287